No. 1
Compound: Sn2Au2O5
Source: OQMD
Functional: PBE
Structure: optimized geometry

Values from the calculation:
Its energy above the lowest structure with this stoichiometry is 0.00 kcal/mol of atoms. The calculated volume comes out at 127.9 Å³/cell.

Lattice parameters (Å, degrees): 3.876 3.876 8.510 90.00 90.00 90.00
Space group P4/mmm (No. 123)
Asymmetric unit:
Sn 0.000 0.000 0.239
Au 0.500 0.500 0.000
Au 0.500 0.500 0.500
O 0.000 0.000 0.000
O 0.000 0.500 0.312

No. 2
Compound: TbSnAuO3
Source: OQMD
Functional: PBE
Structure: optimized geometry

Values from the calculation:
The calculated total energy is -6.302 eV/atom. The calculated volume comes out at 387.2 Å³/cell.

Lattice parameters (Å, degrees): 3.572 13.008 8.334 90.00 90.00 90.00
Space group Cmcm (No. 63)
Asymmetric unit:
Tb 0.000 0.000 0.000
Sn 0.000 0.322 0.250
Au 0.000 0.356 0.750
O 0.000 0.077 0.750
O 0.000 0.388 0.502

No. 3
Compound: TlSnAu3O4
Source: OQMD
Functional: PBE
Structure: optimized geometry

Values from the calculation:
The calculated total energy is -3.944 eV/atom. The calculated volume comes out at 160.7 Å³/cell.

Lattice parameters (Å, degrees): 5.437 5.437 5.437 90.00 90.00 90.00
Space group P-43m (No. 215)
Asymmetric unit:
Tl 0.000 0.000 0.000
Sn 0.500 0.500 0.500
Au 0.000 0.500 0.500
O 0.236 0.236 0.236

No. 4
Compound: TlSnAuO3
Source: OQMD
Functional: PBE
Structure: optimized geometry

Values from the calculation:
The calculated total energy is -5.022 eV/atom. The calculated volume comes out at 407.4 Å³/cell.

Lattice parameters (Å, degrees): 13.790 3.292 8.975 90.00 90.00 90.00
Space group Pnma (No. 62)
Asymmetric unit:
Tl 0.239 0.250 0.114
Sn 0.020 0.250 0.844
Au 0.089 0.250 0.473
O 0.058 0.250 0.248
O 0.078 0.750 0.971
O 0.128 0.250 0.695

No. 5
Compound: SrAuO3
Source: OQMD
Functional: PBE
Structure: optimized geometry

Values from the calculation:
The calculated total energy is -4.382 eV/atom. The calculated volume comes out at 85.6 Å³/cell.

Lattice parameters (Å, degrees): 4.175 4.175 4.912 90.00 90.00 90.00
Space group P4mm (No. 99)
Asymmetric unit:
Sr 0.000 0.000 0.000
Au 0.500 0.500 0.332
O 0.000 0.000 0.534
O 0.000 0.500 0.238

No. 6
Compound: SrAuO3
Source: OQMD
Functional: PBE
Structure: optimized geometry

Values from the calculation:
The calculated total energy is -4.758 eV/atom. The calculated volume comes out at 496.9 Å³/cell.

Lattice parameters (Å, degrees): 6.1705 6.1705 15.0699 90.00 90.00 120.00
Space group R-3c (No. 167, hexagonal axes)
Asymmetric unit:
Sr 0.0000 0.0000 0.0000
Au 0.0000 0.0000 0.2500
O 0.0000 0.3120 0.2500

- calculated volume of number 1 (Sn2Au2O5)?
  127.9 Å³/cell

- Which formula does entry 5 have?
  SrAuO3

- Look up the calculated volume of the fourth one.
  407.4 Å³/cell